[1]
Here is a relaxed RbNiS2Cl crystal from Alexandria via LeMat-Bulk. Energies are from GGA-PBE.

The space group is P4/mmm (No. 123) and the conventional cell measures 5.952, 5.952 and 5.878 Å, with angles of 90.00, 90.00 and 90.00 degrees. The distinct sites, in fractional coordinates, are Rb at (0.000, 0.000, 0.000), Ni at (0.500, 0.500, 0.500), S at (0.000, 0.500, 0.000) and Cl at (0.000, 0.000, 0.500).

The value obtained for the uncorrected formation energy is 1.269 eV/atom. The value obtained for the energy above the most stable polymorph in this dataset is 8.49 eV per formula unit. Its volume is 208.2 Å³/f.u. The spin magnetization comes out at 4.00 μB/cell.

=====

[2]
Here is a relaxed RbNiSCl2 crystal from Alexandria via LeMat-Bulk. Energies are from GGA-PBE.

The space group is P4/mmm (No. 123) and the conventional cell measures 6.008, 6.008 and 5.921 Å, with angles of 90.00, 90.00 and 90.00 degrees. The distinct sites, in fractional coordinates, are Rb at (0.000, 0.000, 0.000), Ni at (0.500, 0.500, 0.500), S at (0.000, 0.000, 0.500) and Cl at (0.000, 0.500, 0.000).

The value obtained for the uncorrected formation energy is 0.777 eV/atom. The value obtained for the energy above the most stable polymorph in this dataset is 7.56 eV per formula unit. Its volume is 213.7 Å³/f.u. The spin magnetization comes out at 3.05 μB/cell.